(1)
# Pr2NdY6 PBE relaxed
data_Pr2NdY6
_space_group_name_H-M_alt 'C 1 2/c 1'
_space_group_IT_number 15
_cell_length_a 16.795
_cell_length_b 11.805
_cell_length_c 6.102
_cell_angle_alpha 90.00
_cell_angle_beta 97.65
_cell_angle_gamma 90.00
loop_
_space_group_symop_operation_xyz
'x,y,z'
'-x,-y,-z'
'-x,y,-z+1/2'
'x,-y,z+1/2'
'x+1/2,y+1/2,z'
'-x+1/2,-y+1/2,-z'
'-x+1/2,y+1/2,-z+1/2'
'x+1/2,-y+1/2,z+1/2'
loop_
_atom_site_label
_atom_site_fract_x
_atom_site_fract_y
_atom_site_fract_z
Pr1 0.167 0.108 0.083
Nd1 0.000 0.393 0.250
Y1 0.050 0.132 0.520
Y2 0.115 0.368 0.814
Y3 0.217 0.369 0.356
# - E above lowest polymorph (eV per atom) = 0.000
# - total magnetic moment (Bohr magnetons per cell) = 0.0
# - DOS at the Fermi energy (states/eV per atom) = 1.612
# - calculated density (g cm⁻³) = 5.3
# - formation energy from the elements (eV per atom) = 0.095
# - energy (eV per formula unit) = -52.252



(2)
# Y2TlI PBE relaxed
data_Y2TlI
_space_group_name_H-M_alt 'R 3 m'
_space_group_IT_number 160
_space_group_name_Hall 'R 3 -2"'
_cell_length_a 4.4338
_cell_length_b 4.4338
_cell_length_c 23.0956
_cell_angle_alpha 90.00
_cell_angle_beta 90.00
_cell_angle_gamma 120.00
loop_
_atom_site_label
_atom_site_fract_x
_atom_site_fract_y
_atom_site_fract_z
Y1 0.0000 0.0000 0.0000
Y2 0.0000 0.0000 0.1966
Tl1 0.0000 0.0000 0.5998
I1 0.0000 0.0000 0.4279
# - E above lowest polymorph (eV per atom) = 0.000
# - total magnetic moment (Bohr magnetons per cell) = 0.0
# - DOS at the Fermi energy (states/eV per atom) = 0.864
# - calculated density (g cm⁻³) = 6.4
# - energy (eV per formula unit) = -18.689



- Number 1 is which compound?
  Pr2NdY6



- E above lowest polymorph of number 1 (Pr2NdY6)?
  0.000 eV per atom



- Number 1 is which compound?
  Pr2NdY6